[1]
Compound: KAg2As2
Source: Alexandria
Functional: PBEsol
Structure: relaxed

The structure in POSCAR format:
```
KAg2As2
1.0
-2.246 2.246 5.356
2.246 -2.246 5.356
2.246 2.246 -5.356
K Ag As
1 2 2
direct
0.000 0.000 0.000 K
0.250 0.750 0.500 Ag
0.750 0.250 0.500 Ag
0.385 0.385 0.000 As
0.615 0.615 0.000 As
```

Output
V, Å³/cell: 108.1
Energy of formation, meV per atom: -183

[2]
Compound: K2AgAs
Source: Alexandria
Functional: PBEsol
Structure: relaxed

The structure in POSCAR format:
```
K2AgAs
1.0
-6.270 6.270 2.414
6.270 -6.270 2.414
6.270 6.270 -2.414
K Ag As
4 2 2
direct
0.375 0.095 0.220 K
0.845 0.625 0.720 K
0.875 0.155 0.780 K
0.905 0.125 0.280 K
0.250 0.750 0.500 Ag
0.500 0.500 0.000 Ag
0.000 0.000 0.000 As
0.750 0.250 0.500 As
```

Output
V, Å³/cell: 379.6
Energy of formation, meV per atom: -133

[3]
Compound: K2AgAs
Source: Alexandria
Functional: PBEsol
Structure: relaxed

The structure in POSCAR format:
```
K2AgAs
1.0
4.658 0.000 0.000
0.000 2.670 5.341
0.000 -2.670 5.341
K Ag As
2 1 1
direct
0.000 0.000 0.000 K
0.500 0.299 0.299 K
0.000 0.682 0.682 Ag
0.500 0.612 0.612 As
```

Output
V, Å³/cell: 132.9
Energy of formation, meV per atom: -265

[4]
Compound: KAgAs2
Source: Alexandria
Functional: PBEsol
Structure: relaxed

The structure in POSCAR format:
```
KAgAs2
1.0
3.552 0.000 0.000
0.000 3.552 0.000
0.000 0.000 7.543
K Ag As
1 1 2
direct
0.000 0.000 0.000 K
0.500 0.500 0.331 Ag
0.000 0.000 0.543 As
0.500 0.500 0.683 As
```

Output
V, Å³/cell: 95.2
Energy of formation, meV per atom: 101

[5]
Compound: KAgAs2
Source: Alexandria
Functional: PBEsol
Structure: relaxed

The structure in POSCAR format:
```
KAgAs2
1.0
4.327 0.000 0.000
0.000 4.327 0.000
0.000 0.000 4.478
K Ag As
1 1 2
direct
0.000 0.000 0.000 K
0.500 0.500 0.000 Ag
0.000 0.500 0.500 As
0.500 0.000 0.500 As
```

Output
V, Å³/cell: 83.8
Energy of formation, meV per atom: 231

[6]
Compound: KAgAs2
Source: Alexandria
Functional: PBEsol
Structure: relaxed

The structure in POSCAR format:
```
KAgAs2
1.0
-2.444 2.444 3.494
2.444 -2.444 3.494
2.444 2.444 -3.494
K Ag As
1 1 2
direct
0.000 0.000 0.000 K
0.500 0.500 0.000 Ag
0.250 0.750 0.500 As
0.750 0.250 0.500 As
```

Output
V, Å³/cell: 83.5
Energy of formation, meV per atom: 272

[7]
Compound: KAgAs3
Source: Alexandria
Functional: PBEsol
Structure: relaxed

The structure in POSCAR format:
```
KAgAs3
1.0
5.287 0.000 0.000
0.000 5.287 0.000
0.000 0.000 5.287
K Ag As
1 1 3
direct
0.000 0.000 0.000 K
0.500 0.500 0.500 Ag
0.000 0.000 0.500 As
0.000 0.500 0.000 As
0.500 0.000 0.000 As
```

Output
V, Å³/cell: 147.8
Energy of formation, meV per atom: 1747

[8]
Compound: K2AgAs
Source: Alexandria
Functional: PBEsol
Structure: relaxed

The structure in POSCAR format:
```
K2AgAs
1.0
4.958 -3.903 0.000
4.958 3.903 0.000
0.000 0.000 5.943
K Ag As
4 2 2
direct
0.029 0.315 0.250 K
0.315 0.029 0.750 K
0.685 0.971 0.250 K
0.971 0.685 0.750 K
0.500 0.500 0.000 Ag
0.500 0.500 0.500 Ag
0.240 0.760 0.250 As
0.760 0.240 0.750 As
```

Output
V, Å³/cell: 230.0
Energy of formation, meV per atom: -377

[9]
Compound: K5Ag2As3Se9
Source: Alexandria
Functional: PBEsol
Structure: relaxed

The structure in POSCAR format:
```
K5Ag2As3Se9
1.0
12.463 0.000 0.000
0.000 12.442 0.000
0.000 0.000 13.941
K Ag As Se
20 8 12 36
direct
0.026 0.079 0.169 K
0.026 0.421 0.169 K
0.170 0.750 0.507 K
0.176 0.074 0.506 K
0.176 0.426 0.506 K
0.324 0.574 0.006 K
0.324 0.926 0.006 K
0.330 0.250 0.007 K
0.474 0.579 0.669 K
0.474 0.921 0.669 K
0.526 0.079 0.331 K
0.526 0.421 0.331 K
0.670 0.750 0.993 K
0.676 0.074 0.994 K
0.676 0.426 0.994 K
0.824 0.574 0.494 K
0.824 0.926 0.494 K
0.830 0.250 0.493 K
0.974 0.579 0.831 K
0.974 0.921 0.831 K
0.239 0.587 0.288 Ag
0.239 0.913 0.288 Ag
0.261 0.087 0.788 Ag
0.261 0.413 0.788 Ag
0.739 0.587 0.212 Ag
0.739 0.913 0.212 Ag
0.761 0.087 0.712 Ag
0.761 0.413 0.712 Ag
0.018 0.250 0.912 As
0.031 0.250 0.721 As
0.247 0.750 0.798 As
0.253 0.250 0.298 As
0.469 0.750 0.221 As
0.482 0.750 0.412 As
0.518 0.250 0.588 As
0.531 0.250 0.779 As
0.747 0.750 0.702 As
0.753 0.250 0.202 As
0.969 0.750 0.279 As
0.982 0.750 0.088 As
0.040 0.592 0.350 Se
0.040 0.908 0.350 Se
0.074 0.250 0.345 Se
0.125 0.098 0.936 Se
0.125 0.402 0.936 Se
0.139 0.750 0.939 Se
0.206 0.597 0.704 Se
0.206 0.903 0.704 Se
0.217 0.250 0.678 Se
0.283 0.750 0.178 Se
0.294 0.097 0.204 Se
0.294 0.403 0.204 Se
0.361 0.250 0.439 Se
0.375 0.598 0.436 Se
0.375 0.902 0.436 Se
0.426 0.750 0.845 Se
0.460 0.092 0.850 Se
0.460 0.408 0.850 Se
0.540 0.592 0.150 Se
0.540 0.908 0.150 Se
0.574 0.250 0.155 Se
0.625 0.098 0.564 Se
0.625 0.402 0.564 Se
0.639 0.750 0.561 Se
0.706 0.597 0.796 Se
0.706 0.903 0.796 Se
0.717 0.250 0.822 Se
0.783 0.750 0.322 Se
0.794 0.097 0.296 Se
0.794 0.403 0.296 Se
0.861 0.250 0.061 Se
0.875 0.598 0.064 Se
0.875 0.902 0.064 Se
0.926 0.750 0.655 Se
0.960 0.092 0.650 Se
0.960 0.408 0.650 Se
```

Output
Formation energy from raw total energies, eV per atom: -0.60
V, Å³/cell: 2161.7

[10]
Compound: KAgAs2Se
Source: Alexandria
Functional: PBEsol
Structure: relaxed

The structure in POSCAR format:
```
KAgAs2Se
1.0
4.980 0.000 0.000
0.000 4.980 0.000
0.000 0.000 5.305
K Ag As Se
1 1 2 1
direct
0.000 0.000 0.000 K
0.500 0.500 0.500 Ag
0.000 0.500 0.500 As
0.500 0.000 0.500 As
0.500 0.500 0.000 Se
```

Output
Formation energy from raw total energies, eV per atom: 0.29
V, Å³/cell: 131.6

[11]
Compound: LaAgAs
Source: Alexandria
Functional: PBEsol
Structure: relaxed

The structure in POSCAR format:
```
LaAgAs
1.0
0.000 3.360 3.360
3.360 0.000 3.360
3.360 3.360 0.000
La Ag As
1 1 1
direct
0.000 0.000 0.000 La
0.500 0.500 0.500 Ag
0.250 0.250 0.250 As
```

Output
V, Å³/cell: 75.8
Energy of formation, meV per atom: -598

[12]
Compound: LaAg2As2
Source: Alexandria
Functional: PBEsol
Structure: relaxed

The structure in POSCAR format:
```
LaAg2As2
1.0
-2.059 2.059 6.105
2.059 -2.059 6.105
2.059 2.059 -6.105
La Ag As
1 2 2
direct
0.000 0.000 0.000 La
0.250 0.750 0.500 Ag
0.750 0.250 0.500 Ag
0.391 0.391 0.000 As
0.609 0.609 0.000 As
```

Output
V, Å³/cell: 103.5
Energy of formation, meV per atom: -591

- Which of these has the lowest V?
  LaAgAs

Repeat the second record exactly.
Compound: K2AgAs
Source: Alexandria
Functional: PBEsol
Structure: relaxed

The structure in POSCAR format:
```
K2AgAs
1.0
-6.270 6.270 2.414
6.270 -6.270 2.414
6.270 6.270 -2.414
K Ag As
4 2 2
direct
0.375 0.095 0.220 K
0.845 0.625 0.720 K
0.875 0.155 0.780 K
0.905 0.125 0.280 K
0.250 0.750 0.500 Ag
0.500 0.500 0.000 Ag
0.000 0.000 0.000 As
0.750 0.250 0.500 As
```

Output
V, Å³/cell: 379.6
Energy of formation, meV per atom: -133

- Among the records above, which one has the lowest V?
  LaAgAs

Repeat the seventh record exactly.
Compound: KAgAs3
Source: Alexandria
Functional: PBEsol
Structure: relaxed

The structure in POSCAR format:
```
KAgAs3
1.0
5.287 0.000 0.000
0.000 5.287 0.000
0.000 0.000 5.287
K Ag As
1 1 3
direct
0.000 0.000 0.000 K
0.500 0.500 0.500 Ag
0.000 0.000 0.500 As
0.000 0.500 0.000 As
0.500 0.000 0.000 As
```

Output
V, Å³/cell: 147.8
Energy of formation, meV per atom: 1747